ErSiNiC | PBE | optimized geometry

Geometry as POSCAR:
```
ErSiNiC
1.0
3.6192 0.0000 0.0000
0.0000 3.6192 0.0000
0.0000 0.0000 8.6939
Er Si Ni C
2 2 2 2
Direct
0.2500 0.2500 0.1412
0.7500 0.7500 0.8588
0.2500 0.2500 0.6634
0.7500 0.7500 0.3366
0.2500 0.7500 0.5000
0.7500 0.2500 0.5000
0.2500 0.2500 0.8696
0.7500 0.7500 0.1304
```

Summary:
spin magnetization: 0.0 Bohr magnetons per cell
space-group type: P4/nmm, No. 129
final energy: -6.81 eV/atom
Fermi-level density of states: 0.3192 states/eV per atom